Compound: PrRuC2
Source: Alexandria via LeMat-Bulk
Functional: PBE-GGA
Structure: optimized geometry

Computed properties:
Theoretical density: 7440 kg/m³
Energy of formation from the pure elements: -0.424 eV per formula unit
ΔE to the lowest computed polymorph: 0.00 eV per formula unit

Structure (CIF):
```
data_PrRuC2
_cell_length_a 3.930
_cell_length_b 3.930
_cell_length_c 15.378
_cell_angle_alpha 90.00
_cell_angle_beta 90.00
_cell_angle_gamma 90.00
_space_group_name_H-M_alt 'P 41'
_space_group_IT_number 76
_space_group_name_Hall 'P 4w'
loop_
_atom_site_label
_atom_site_type_symbol
_atom_site_fract_x
_atom_site_fract_y
_atom_site_fract_z
_atom_site_occupancy
Pr1 Pr 0.142 0.144 0.000 1
Ru1 Ru 0.352 0.358 0.600 1
C1 C 0.142 0.642 0.144 1
C2 C 0.347 0.348 0.468 1
```

---

Compound: PrRu2C2
Source: Alexandria via LeMat-Bulk
Functional: PBE-GGA
Structure: optimized geometry

Computed properties:
Theoretical density: 8328 kg/m³
Energy of formation from the pure elements: 0.215 eV per formula unit
ΔE to the lowest computed polymorph: 0.64 eV per formula unit

Structure (CIF):
```
data_PrRu2C2
_cell_length_a 3.792
_cell_length_b 3.792
_cell_length_c 10.180
_cell_angle_alpha 90.00
_cell_angle_beta 90.00
_cell_angle_gamma 90.00
_space_group_name_H-M_alt 'I 4/m m m'
_space_group_IT_number 139
_space_group_name_Hall '-I 4 2'
loop_
_atom_site_label
_atom_site_type_symbol
_atom_site_fract_x
_atom_site_fract_y
_atom_site_fract_z
_atom_site_occupancy
Pr1 Pr 0.000 0.000 0.000 1
Ru1 Ru 0.000 0.500 0.250 1
C1 C 0.000 0.000 0.336 1
```

---

Compound: Pr2RuC
Source: Alexandria via LeMat-Bulk
Functional: PBE-GGA
Structure: optimized geometry

Computed properties:
Theoretical density: 7823 kg/m³
Energy of formation from the pure elements: -0.039 eV per formula unit
ΔE to the lowest computed polymorph: 0.44 eV per formula unit

Structure (CIF):
```
data_Pr2RuC
_cell_length_a 5.279
_cell_length_b 3.457
_cell_length_c 9.191
_cell_angle_alpha 90.00
_cell_angle_beta 92.05
_cell_angle_gamma 90.00
_space_group_name_H-M_alt 'P 1 21/m 1'
_space_group_IT_number 11
_space_group_name_Hall '-P 2yb'
loop_
_atom_site_label
_atom_site_type_symbol
_atom_site_fract_x
_atom_site_fract_y
_atom_site_fract_z
_atom_site_occupancy
Pr1 Pr 0.243 0.250 0.094 1
Pr2 Pr 0.250 0.750 0.428 1
Ru1 Ru 0.236 0.250 0.753 1
C1 C 0.076 0.750 0.694 1
```

---

Compound: PrRu2C3
Source: Alexandria via LeMat-Bulk
Functional: PBE-GGA
Structure: optimized geometry

Computed properties:
Theoretical density: 7187 kg/m³
Energy of formation from the pure elements: 0.795 eV per formula unit

Structure (CIF):
```
data_PrRu2C3
_cell_length_a 7.035
_cell_length_b 9.387
_cell_length_c 5.305
_cell_angle_alpha 90.00
_cell_angle_beta 90.00
_cell_angle_gamma 90.00
_space_group_name_H-M_alt 'C m c m'
_space_group_IT_number 63
_space_group_name_Hall '-C 2c 2'
loop_
_atom_site_label
_atom_site_type_symbol
_atom_site_fract_x
_atom_site_fract_y
_atom_site_fract_z
_atom_site_occupancy
Pr1 Pr 0.000 0.213 0.250 1
Ru1 Ru 0.193 0.500 0.000 1
C1 C 0.000 0.421 0.750 1
C2 C 0.097 0.062 0.750 1
```

---

Compound: PrRu2C2
Source: Alexandria via LeMat-Bulk
Functional: PBE-GGA
Structure: optimized geometry

Computed properties:
Theoretical density: 8601 kg/m³
Energy of formation from the pure elements: -0.420 eV per formula unit
ΔE to the lowest computed polymorph: 0.00 eV per formula unit

Structure (CIF):
```
data_PrRu2C2
_cell_length_a 6.352
_cell_length_b 9.160
_cell_length_c 9.745
_cell_angle_alpha 90.00
_cell_angle_beta 90.00
_cell_angle_gamma 90.00
_space_group_name_H-M_alt 'F d d d'
_space_group_IT_number 70
loop_
_space_group_symop_operation_xyz
'x,y,z'
'-x,-y,-z'
'-x+1/4,-y+1/4,z'
'x+1/4,y+1/4,-z'
'x,-y+1/4,-z+1/4'
'-x,y+1/4,z+1/4'
'-x+1/4,y,-z+1/4'
'x+1/4,-y,z+1/4'
'x,y+1/2,z+1/2'
'-x,-y+1/2,-z+1/2'
'-x+1/4,-y+3/4,z+1/2'
'x+1/4,y+3/4,-z+1/2'
'x,-y+3/4,-z+3/4'
'-x,y+3/4,z+3/4'
'-x+1/4,y+1/2,-z+3/4'
'x+1/4,-y+1/2,z+3/4'
'x+1/2,y,z+1/2'
'-x+1/2,-y,-z+1/2'
'-x+3/4,-y+1/4,z+1/2'
'x+3/4,y+1/4,-z+1/2'
'x+1/2,-y+1/4,-z+3/4'
'-x+1/2,y+1/4,z+3/4'
'-x+3/4,y,-z+3/4'
'x+3/4,-y,z+3/4'
'x+1/2,y+1/2,z'
'-x+1/2,-y+1/2,-z'
'-x+3/4,-y+3/4,z'
'x+3/4,y+3/4,-z'
'x+1/2,-y+3/4,-z+1/4'
'-x+1/2,y+3/4,z+1/4'
'-x+3/4,y+1/2,-z+1/4'
'x+3/4,-y+1/2,z+1/4'
loop_
_atom_site_label
_atom_site_type_symbol
_atom_site_fract_x
_atom_site_fract_y
_atom_site_fract_z
_atom_site_occupancy
Pr1 Pr 0.125 0.125 0.125 1
Ru1 Ru 0.125 0.125 0.489 1
C1 C 0.125 0.308 0.625 1
```

---

Compound: Pr2RuC
Source: Alexandria via LeMat-Bulk
Functional: PBE-GGA
Structure: optimized geometry

Computed properties:
Theoretical density: 6480 kg/m³
Energy of formation from the pure elements: -0.477 eV per formula unit
ΔE to the lowest computed polymorph: 0.00 eV per formula unit

Structure (CIF):
```
data_Pr2RuC
_cell_length_a 14.267
_cell_length_b 3.934
_cell_length_c 3.735
_cell_angle_alpha 90.00
_cell_angle_beta 105.11
_cell_angle_gamma 90.00
_space_group_name_H-M_alt 'C 1 2/m 1'
_space_group_IT_number 12
_space_group_name_Hall '-C 2y'
loop_
_atom_site_label
_atom_site_type_symbol
_atom_site_fract_x
_atom_site_fract_y
_atom_site_fract_z
_atom_site_occupancy
Pr1 Pr 0.126 0.000 0.126 1
Ru1 Ru 0.000 0.500 0.500 1
C1 C 0.000 0.000 0.500 1
```

---

Compound: Pr3Ru2C
Source: Alexandria via LeMat-Bulk
Functional: PBE-GGA
Structure: optimized geometry

Computed properties:
Theoretical density: 7584 kg/m³
Energy of formation from the pure elements: -0.689 eV per formula unit

Structure (CIF):
```
data_Pr3Ru2C
_cell_length_a 9.849
_cell_length_b 8.395
_cell_length_c 7.066
_cell_angle_alpha 90.00
_cell_angle_beta 107.32
_cell_angle_gamma 90.00
_space_group_name_H-M_alt 'C 1 2/c 1'
_space_group_IT_number 15
_space_group_name_Hall '-C 2yc'
loop_
_atom_site_label
_atom_site_type_symbol
_atom_site_fract_x
_atom_site_fract_y
_atom_site_fract_z
_atom_site_occupancy
Pr1 Pr 0.000 0.122 0.250 1
Pr2 Pr 0.172 0.438 0.977 1
Ru1 Ru 0.154 0.222 0.642 1
C1 C 0.000 0.203 0.750 1
```

---

Compound: Pr4Ru3C5
Source: Alexandria via LeMat-Bulk
Functional: PBE-GGA
Structure: optimized geometry

Computed properties:
Theoretical density: 7159 kg/m³
Energy of formation from the pure elements: -1.547 eV per formula unit

Structure (CIF):
```
data_Pr4Ru3C5
_cell_length_a 11.988
_cell_length_b 3.978
_cell_length_c 9.907
_cell_angle_alpha 90.00
_cell_angle_beta 114.47
_cell_angle_gamma 90.00
_space_group_name_H-M_alt 'C 1 2/m 1'
_space_group_IT_number 12
_space_group_name_Hall '-C 2y'
loop_
_atom_site_label
_atom_site_type_symbol
_atom_site_fract_x
_atom_site_fract_y
_atom_site_fract_z
_atom_site_occupancy
Pr1 Pr 0.104 0.000 0.401 1
Pr2 Pr 0.241 0.500 0.166 1
Ru1 Ru 0.000 0.000 0.000 1
Ru2 Ru 0.048 0.500 0.828 1
C1 C 0.000 0.500 0.000 1
C2 C 0.113 0.500 0.675 1
C3 C 0.192 0.500 0.612 1
```

---

Compound: Pr2RuC4
Source: Alexandria via LeMat-Bulk
Functional: PBE-GGA
Structure: optimized geometry

Computed properties:
Theoretical density: 6614 kg/m³
Energy of formation from the pure elements: -1.056 eV per formula unit

Structure (CIF):
```
data_Pr2RuC4
_cell_length_a 7.888
_cell_length_b 10.046
_cell_length_c 5.461
_cell_angle_alpha 90.00
_cell_angle_beta 90.00
_cell_angle_gamma 90.00
_space_group_name_H-M_alt 'I b a m'
_space_group_IT_number 72
_space_group_name_Hall '-I 2 2c'
loop_
_atom_site_label
_atom_site_type_symbol
_atom_site_fract_x
_atom_site_fract_y
_atom_site_fract_z
_atom_site_occupancy
Pr1 Pr 0.151 0.150 0.000 1
Ru1 Ru 0.000 0.500 0.250 1
C1 C 0.168 0.123 0.500 1
C2 C 0.171 0.426 0.000 1
```

---

Compound: Pr2Ru5C4
Source: Alexandria via LeMat-Bulk
Functional: PBE-GGA
Structure: optimized geometry

Computed properties:
Theoretical density: 9216 kg/m³
Energy of formation from the pure elements: -0.450 eV per formula unit

Structure (CIF):
```
data_Pr2Ru5C4
_cell_length_a 5.470
_cell_length_b 9.989
_cell_length_c 11.016
_cell_angle_alpha 90.00
_cell_angle_beta 90.00
_cell_angle_gamma 90.00
_space_group_name_H-M_alt 'F m m m'
_space_group_IT_number 69
_space_group_name_Hall '-F 2 2'
loop_
_atom_site_label
_atom_site_type_symbol
_atom_site_fract_x
_atom_site_fract_y
_atom_site_fract_z
_atom_site_occupancy
Pr1 Pr 0.000 0.000 0.146 1
Ru1 Ru 0.000 0.000 0.500 1
Ru2 Ru 0.250 0.250 0.000 1
Ru3 Ru 0.250 0.250 0.250 1
C1 C 0.000 0.165 0.371 1
```

---

Compound: Pr3RuC3
Source: Alexandria via LeMat-Bulk
Functional: PBE-GGA
Structure: optimized geometry

Computed properties:
Theoretical density: 7059 kg/m³
Energy of formation from the pure elements: -0.799 eV per formula unit

Structure (CIF):
```
data_Pr3RuC3
_cell_length_a 8.945
_cell_length_b 10.889
_cell_length_c 5.408
_cell_angle_alpha 90.00
_cell_angle_beta 90.00
_cell_angle_gamma 90.00
_space_group_name_H-M_alt 'C m c m'
_space_group_IT_number 63
_space_group_name_Hall '-C 2c 2'
loop_
_atom_site_label
_atom_site_type_symbol
_atom_site_fract_x
_atom_site_fract_y
_atom_site_fract_z
_atom_site_occupancy
Pr1 Pr 0.000 0.108 0.250 1
Pr2 Pr 0.211 0.379 0.250 1
Ru1 Ru 0.000 0.302 0.750 1
C1 C 0.000 0.123 0.750 1
C2 C 0.198 0.371 0.750 1
```